Record 1
LiSc2Pt | PBE | relaxed

Calculated values
M_tot   0.02 μB per cell
Energy above the lowest structure with this stoichiometry   78.3 meV per atom
Crystal system   orthorhombic

Unit cell a=6.475 b=6.890 c=6.475 alpha=90.00 beta=90.00 gamma=90.00
Space group Imma (No. 74)
Unique sites:
1 Li 0.000 0.250 0.001 (multiplicity 4)
2 Sc 0.250 0.000 0.250 (multiplicity 8)
3 Pt 0.000 0.250 0.500 (multiplicity 4)



Record 2
ScSn2Au | PBE | relaxed

Calculated values
M_tot   0.02 μB per cell
Crystal system   cubic
Energy   -73.97 eV/cell

Unit cell a=7.156 b=7.156 c=7.156 alpha=90.00 beta=90.00 gamma=90.00
Space group F-43m (No. 216)
Unique sites:
1 Sc 0.000 0.000 0.000 (multiplicity 4)
2 Sn 0.000 0.000 0.500 (multiplicity 4)
3 Sn 0.250 0.250 0.250 (multiplicity 4)
4 Au 0.250 0.250 0.750 (multiplicity 4)